# ZnIrCl2

An optimized crystal structure of ZnIrCl2 (GGA-PBEsol, Alexandria).

a b c (Å): 5.877 5.877 5.877
angles (deg): 145.22 145.22 50.00
Positions (direct):
Zn1 0.000 0.000 0.000
Ir1 0.250 0.750 0.500
Cl1 0.500 0.500 0.000
Cl2 0.750 0.250 0.500

Calculated values
As for the calculated volume: 66 Å³/f.u. The calculation puts the uncorrected formation energy at 2.11 eV per formula unit. The calculation puts the final energy at -3.3272 eV/atom. As for the energy above the most stable polymorph in this dataset: 613 meV per atom. As for the space-group type: No. 119. The calculation puts the spin magnetization at 0.0 Bohr magnetons per cell.